# Sr5NiO6 PBE with a Hubbard U relaxed
# size of the total moment: 2.12 μB per cell
# space-group type: C2/m (12)
# total DFT energy (no corrections): -0.42151 Ry per atom
data_Sr5NiO6
_cell_length_a 6.218
_cell_length_b 6.218
_cell_length_c 6.159
_cell_angle_alpha 99.39
_cell_angle_beta 99.39
_cell_angle_gamma 120.29
_symmetry_space_group_name_H-M 'P 1'
_symmetry_Int_Tables_number 1
_symmetry_space_group_name_Hall 'P 1'
loop_
_atom_site_label
_atom_site_type_symbol
_atom_site_fract_x
_atom_site_fract_y
_atom_site_fract_z
Sr1 Sr 0.000 0.000 0.000
Sr2 Sr 0.167 0.833 0.500
Sr3 Sr 0.338 0.662 0.000
Sr4 Sr 0.662 0.338 0.000
Sr5 Sr 0.833 0.167 0.500
Ni1 Ni 0.500 0.500 0.500
O1 O 0.102 0.418 0.257
O2 O 0.269 0.269 0.733
O3 O 0.418 0.102 0.257
O4 O 0.582 0.898 0.743
O5 O 0.731 0.731 0.267
O6 O 0.898 0.582 0.743